! CdFe2As2 (PBE, optimized geometry); values from VASP
&SYSTEM
  ibrav = 0, nat = 10, ntyp = 3
/
ATOMIC_SPECIES
As 74.92 As.upf
Fe 55.84 Fe.upf
Cd 112.41 Cd.upf
CELL_PARAMETERS angstrom
7.055 0.000 0.000
0.000 7.055 0.000
0.000 0.000 2.938
ATOMIC_POSITIONS angstrom
As 1.046 4.574 1.469
Fe 0.973 2.554 0.000
Fe 4.501 0.973 0.000
As 2.481 1.046 1.469
As 4.574 6.008 1.469
Fe 2.554 6.081 0.000
Fe 6.081 4.501 0.000
Cd 3.527 3.527 0.000
As 6.008 2.481 1.469
Cd 0.000 0.000 0.000
! Formation energy (meV/atom): 189
! SG: No. 127
! DOS(E_F) (states/eV/cell): 12.9
! E_tot (eV/cell): -52.39
! Energy relative to the lowest polymorph listed for this composition (eV/atom): 0.173